DFT (GGA-PBE) results for crystalline MgOs at its relaxed geometry.

Magnetic moment = 0.00 μB per formula unit
Formation energy = 115.55 kJ/mol of atoms
Raw total energy = -5.21 eV per atom

Geometry as CIF:
```
data_MgOs
_cell_length_a 5.420
_cell_length_b 5.420
_cell_length_c 5.222
_cell_angle_alpha 90.00
_cell_angle_beta 90.00
_cell_angle_gamma 90.00
_space_group_name_H-M_alt 'P 42/m n m'
_space_group_IT_number 136
_space_group_name_Hall '-P 4n 2n'
loop_
_atom_site_label
_atom_site_fract_x
_atom_site_fract_y
_atom_site_fract_z
_atom_site_occupancy
Mg1 0.187 0.187 0.000 1
Os1 0.152 0.152 0.500 1
```